No. 1
The following is a PBE calculation of NdErPu after structural relaxation, from Alexandria via LeMat-Bulk.

extended XYZ file:
```
6
Lattice="6.387 0.154 -1.162 2.527 5.868 -1.162 -1.523 -1.029 5.379" Properties=species:S:1:pos:R:3 pbc="T T T"
Nd 6.842 4.623 -0.175
Nd 0.548 0.370 3.230
Pu 4.826 3.260 1.998
Pu 2.565 1.733 1.057
Er 5.434 1.564 -1.162
Er 3.479 4.458 -1.162
```

Output
- magnetic moment (μB/cell) = 12.68
- formation energy from the elements (eV per atom) = 0.158
- energy above the most stable polymorph in this dataset (meV per atom) = 35
- density of states at the Fermi level (states/eV per cell) = 19.51

***

No. 2
The following is a PBE calculation of Nd7Er4Pu after structural relaxation, from Alexandria via LeMat-Bulk.

extended XYZ file:
```
12
Lattice="6.305 1.623 3.253 4.721 7.680 3.307 3.079 -1.412 11.021" Properties=species:S:1:pos:R:3 pbc="T T T"
Nd 10.145 3.639 15.101
Nd 3.960 4.252 2.479
Nd 3.809 0.929 8.441
Nd 10.296 6.963 9.140
Nd 7.138 6.099 7.551
Nd 6.231 -0.600 12.648
Nd 6.967 1.793 10.030
Er 6.359 2.695 6.634
Er 7.746 5.197 10.946
Er 10.858 5.998 12.552
Er 3.247 1.894 5.029
Pu 6.305 1.623 3.253
```

Output
- magnetic moment (μB/cell) = 6.05
- formation energy from the elements (eV per atom) = 0.038
- density of states at the Fermi level (states/eV per cell) = 21.67

***

No. 3
The following is a PBE calculation of NdErPu2 after structural relaxation, from Alexandria via LeMat-Bulk.

extended XYZ file:
```
4
Lattice="-1.641 -2.528 -1.643 1.788 -2.322 1.787 -7.172 -0.003 7.169" Properties=species:S:1:pos:R:3 pbc="T T T"
Er -3.513 -2.427 3.657
Nd 0.073 -2.425 0.072
Pu -5.335 -0.002 5.333
Pu -1.837 -0.001 1.836
```

Output
- magnetic moment (μB/cell) = 12.80
- formation energy from the elements (eV per atom) = 0.197
- energy above the most stable polymorph in this dataset (meV per atom) = 0
- density of states at the Fermi level (states/eV per cell) = 14.38

***

No. 4
The following is a PBE calculation of NdErPu2 after structural relaxation, from Alexandria via LeMat-Bulk.

extended XYZ file:
```
4
Lattice="5.050 0.000 0.000 0.000 4.854 0.000 0.000 0.000 4.854" Properties=species:S:1:pos:R:3 pbc="T T T"
Er 2.525 0.000 0.000
Nd 2.525 2.427 2.427
Pu 0.000 0.000 2.427
Pu 0.000 2.427 0.000
```

Output
- magnetic moment (μB/cell) = 12.47
- formation energy from the elements (eV per atom) = 0.203
- energy above the most stable polymorph in this dataset (meV per atom) = 7
- density of states at the Fermi level (states/eV per cell) = 16.05

***

No. 5
The following is a PBE calculation of Nd14ErPu after structural relaxation, from Alexandria via LeMat-Bulk.

extended XYZ file:
```
16
Lattice="7.317 -0.932 0.000 -2.828 6.813 0.000 0.000 0.000 11.810" Properties=species:S:1:pos:R:3 pbc="T T T"
Nd 0.564 4.223 5.905
Nd 5.628 0.358 5.905
Nd 4.229 3.742 0.000
Nd 4.216 3.764 5.905
Nd 1.995 0.815 0.000
Nd 1.970 0.821 5.905
Nd 2.519 5.087 8.940
Nd 2.519 5.087 2.870
Nd 0.246 2.110 8.940
Nd 0.246 2.110 2.870
Nd -1.142 5.526 8.872
Nd -1.142 5.526 2.938
Nd 3.942 1.644 8.892
Nd 3.942 1.644 2.918
Er 0.562 4.225 0.000
Pu 5.621 0.363 0.000
```

Output
- magnetic moment (μB/cell) = 6.63
- formation energy from the elements (eV per atom) = 0.060
- density of states at the Fermi level (states/eV per cell) = 31.63

***

No. 6
The following is a PBE calculation of Nd5Er12Pu after structural relaxation, from Alexandria via LeMat-Bulk.

extended XYZ file:
```
18
Lattice="-1.133 -3.585 -10.690 -7.788 -5.989 -3.172 -3.167 4.775 -1.304" Properties=species:S:1:pos:R:3 pbc="T T T"
Nd -2.150 0.595 -5.997
Nd -6.873 -2.149 -4.576
Nd -5.215 -2.649 -10.590
Nd -6.031 -6.431 -9.216
Nd -2.889 -3.142 -4.646
Er -2.371 -0.852 -9.528
Er -1.929 2.042 -2.466
Er -3.781 2.069 -8.572
Er -0.519 -0.879 -3.422
Er -8.619 -0.622 -6.966
Er -6.455 -7.375 -12.817
Er -5.632 2.577 -2.349
Er -3.468 -4.176 -8.200
Er -4.863 -1.226 -7.260
Er -7.901 -4.455 -11.861
Er -4.186 -0.344 -3.305
Er -7.224 -3.572 -7.906
Pu 0.000 0.000 0.000
```

Output
- magnetic moment (μB/cell) = 6.77
- formation energy from the elements (eV per atom) = 0.118
- density of states at the Fermi level (states/eV per cell) = 36.49

***

No. 7
The following is a PBE calculation of Nd6Er8Pu after structural relaxation, from Alexandria via LeMat-Bulk.

extended XYZ file:
```
15
Lattice="-8.569 -1.045 -0.121 -2.942 -7.715 -2.524 -3.387 -5.062 6.118" Properties=species:S:1:pos:R:3 pbc="T T T"
Nd -11.633 -8.377 3.499
Nd -4.068 -3.809 3.042
Nd -5.686 -2.825 0.019
Nd -9.212 -10.998 3.455
Nd -10.830 -10.013 0.432
Nd -3.265 -5.445 -0.025
Er -5.610 -9.443 2.803
Er -5.686 -8.561 -0.521
Er -6.184 -6.691 4.784
Er -8.585 -7.965 2.002
Er -6.313 -5.858 1.472
Er -8.713 -7.132 -1.310
Er -9.212 -5.261 3.995
Er -9.288 -4.379 0.671
Pu 0.000 0.000 0.000
```

Output
- magnetic moment (μB/cell) = 6.50
- formation energy from the elements (eV per atom) = 0.116
- density of states at the Fermi level (states/eV per cell) = 20.39

***

No. 8
The following is a PBE calculation of Nd8Er6Pu after structural relaxation, from Alexandria via LeMat-Bulk.

extended XYZ file:
```
15
Lattice="-2.821 -0.475 -5.149 8.573 1.204 -4.808 -3.039 -9.086 2.504" Properties=species:S:1:pos:R:3 pbc="T T T"
Nd -2.517 -2.723 -3.494
Nd 1.757 -6.606 -5.477
Nd -3.181 -8.723 -2.576
Nd 5.230 -5.634 -3.959
Nd 0.956 -1.751 -1.976
Nd 5.894 0.365 -4.876
Nd -1.330 -6.020 -3.878
Nd 4.043 -2.337 -3.574
Er 2.902 -0.470 -6.582
Er 4.064 -4.021 -6.891
Er 0.816 -3.253 -5.182
Er -0.189 -7.888 -0.871
Er -1.351 -4.336 -0.562
Er 1.897 -5.104 -2.270
Pu -1.410 -0.238 -2.574
```

Output
- magnetic moment (μB/cell) = 4.20
- formation energy from the elements (eV per atom) = 0.137
- density of states at the Fermi level (states/eV per cell) = 21.21